Here is Ce2Co3Ge4Au after structural relaxation from Alexandria. Energies are from PBE.

Unit cell a=4.1584 b=4.1584 c=9.9479 alpha=90.00 beta=90.00 gamma=90.00
Closest atoms and distances in Å follow each position.
Fractional coordinates of all 10 atoms:
Ce  0.0000  0.5000  0.2383  8 Ge 3.15, 6 Co 3.17-3.33, 2 Au 3.33
Ce  0.5000  0.0000  0.7617  8 Ge 3.15, 6 Co 3.17-3.33, 2 Au 3.33
Co  0.0000  0.5000  0.8815  5 Ge 2.31-2.39
Co  0.5000  0.0000  0.1185  5 Ge 2.31-2.39
Co  0.5000  0.5000  0.5000  4 Ge 2.56
Ge  0.0000  0.0000  0.0000  4 Co 2.39
Ge  0.0000  0.5000  0.6494  3 Co 2.31-2.56, 2 Au 2.56
Ge  0.5000  0.0000  0.3506  3 Co 2.31-2.56, 2 Au 2.56
Ge  0.5000  0.5000  0.0000  4 Co 2.39
Au  0.0000  0.0000  0.5000  4 Ge 2.56

## Properties
Energy relative to the elements = -560 meV/atom
Magnetic moment = 1.10 μB per formula unit
Space group = No. 115
Calculated total energy = -0.222 hartree per atom